Density functional theory data (PBE) for a relaxed Pm2Nd4SmSc crystal.

Output
DFT total energy   -39.40 eV per cell
SG   No. 47
Formation enthalpy at 0 K   0.028 eV/atom

a b c (Å): 5.112 5.129 10.185
angles (deg): 90.00 90.00 90.00
Sites, in units of the cell vectors:
Pm  0.000  0.000  0.000
Pm  0.500  0.500  0.500
Nd  0.000  0.500  0.244
Nd  0.000  0.500  0.756
Nd  0.500  0.000  0.244
Nd  0.500  0.000  0.756
Sm  0.000  0.000  0.500
Sc  0.500  0.500  0.000